No. 1
Material: NaHfBeS3
Method: DFT, PBE-GGA
State: relaxed

For the final energy, the calculation gives -5.7688 eV per atom.

The structure belongs to space group Cmcm (No. 63); the cell edges are 3.497, 13.346 and 9.771 Å and the angles 90.00°, 90.00° and 90.00°. Symmetry generates all atoms from Na at (0.000, 0.250, 0.250), Hf at (0.000, 0.000, 0.000), Be at (0.000, 0.463, 0.750), S at (0.000, 0.062, 0.750) and S at (0.000, 0.370, 0.576).



No. 2
Material: Er3Lu3Bi2Os
Method: DFT, PBE-GGA
State: relaxed

The value obtained for the excess energy over the best structure of this formula in the dataset is 0.000 eV/atom.

The structure belongs to space group P-62m (No. 189); the cell edges are 8.1645, 8.1645 and 4.2153 Å and the angles 90.00°, 90.00° and 120.00°. Symmetry generates all atoms from Er at (0.0000, 0.6171, 0.0000), Lu at (0.0000, 0.2311, 0.5000), Bi at (0.3333, 0.6667, 0.5000) and Os at (0.0000, 0.0000, 0.0000).